[1]
# BeSiSn3, relaxed, DFT PBE-GGA
data_BeSiSn3
_chemical_formula_sum 'Be1 Si1 Sn3'
_cell_length_a 4.893
_cell_length_b 4.893
_cell_length_c 4.893
_cell_angle_alpha 90.00
_cell_angle_beta 90.00
_cell_angle_gamma 90.00
_space_group_name_H-M_alt 'P m -3 m'
_space_group_IT_number 221
_space_group_name_Hall '-P 4 2 3'
loop_
_atom_site_label
_atom_site_type_symbol
_atom_site_fract_x
_atom_site_fract_y
_atom_site_fract_z
Be1 Be 0.000 0.000 0.000
Si1 Si 0.500 0.500 0.500
Sn1 Sn 0.000 0.000 0.500
# E = -3.65 eV per atom
# Total moment = 0.0 Bohr magnetons per cell
# Energy above the most stable polymorph in this dataset = 0 meV per atom
# DOS(E_F) = 2.68 states/eV per cell
# Volume = 117 Å³ per cell
# Formation energy without anion corrections = 0.5812 eV per atom

=====

[2]
# Sm4GaPS2, relaxed, DFT PBE-GGA
data_Sm4GaPS2
_chemical_formula_sum 'Sm4 Ga1 P1 S2'
_cell_length_a 7.142
_cell_length_b 4.042
_cell_length_c 7.147
_cell_angle_alpha 90.00
_cell_angle_beta 108.91
_cell_angle_gamma 90.00
_space_group_name_H-M_alt 'P 1 2/m 1'
_space_group_IT_number 10
loop_
_space_group_symop_operation_xyz
'x,y,z'
'-x,-y,-z'
'-x,y,-z'
'x,-y,z'
loop_
_atom_site_label
_atom_site_type_symbol
_atom_site_fract_x
_atom_site_fract_y
_atom_site_fract_z
Sm1 Sm 0.242 0.000 0.244
Sm2 Sm 0.244 0.500 0.747
Ga1 Ga 0.500 0.500 0.500
P1 P 0.000 0.000 0.500
S1 S 0.000 0.500 0.000
S2 S 0.500 0.000 0.000
# E = -5.99 eV per atom
# Total moment = 0.0 Bohr magnetons per cell
# DOS(E_F) = 2.84 states/eV per cell
# Volume = 195 Å³ per cell
# Formation energy without anion corrections = -1.5418 eV per atom

=====

[3]
# HfThP, relaxed, DFT PBE-GGA
data_HfThP
_chemical_formula_sum 'Hf2 Th2 P2'
_cell_length_a 3.805
_cell_length_b 5.723
_cell_length_c 7.099
_cell_angle_alpha 90.00
_cell_angle_beta 105.52
_cell_angle_gamma 90.00
_space_group_name_H-M_alt 'P 1 21/m 1'
_space_group_IT_number 11
loop_
_space_group_symop_operation_xyz
'x,y,z'
'-x,-y,-z'
'-x,y+1/2,-z'
'x,-y+1/2,z'
loop_
_atom_site_label
_atom_site_type_symbol
_atom_site_fract_x
_atom_site_fract_y
_atom_site_fract_z
Hf1 Hf 0.057 0.250 0.112
Th1 Th 0.340 0.250 0.681
P1 P 0.317 0.750 0.635
# E = -8.40 eV per atom
# Total moment = 0.0 Bohr magnetons per cell
# DOS(E_F) = 4.50 states/eV per cell
# ΔE_f = -0.81 eV per atom
# Volume = 149 Å³ per cell

=====

[4]
# Pr2TlCd6, relaxed, DFT PBE-GGA
data_Pr2TlCd6
_chemical_formula_sum 'Pr2 Tl1 Cd6'
_cell_length_a 8.9039
_cell_length_b 8.9039
_cell_length_c 3.4448
_cell_angle_alpha 90.00
_cell_angle_beta 90.00
_cell_angle_gamma 120.00
_space_group_name_H-M_alt 'P 6/m m m'
_space_group_IT_number 191
_space_group_name_Hall '-P 6 2'
loop_
_atom_site_label
_atom_site_type_symbol
_atom_site_fract_x
_atom_site_fract_y
_atom_site_fract_z
Pr1 Pr 0.3333 0.6667 0.0000
Tl1 Tl 0.0000 0.0000 0.0000
Cd1 Cd 0.0000 0.3314 0.5000
# E = -2.16 eV per atom
# Total moment = 0.2 Bohr magnetons per cell
# Energy above the most stable polymorph in this dataset = 3 meV per atom
# DOS(E_F) = 6.58 states/eV per cell
# ΔE_f = -0.22 eV per atom
# Volume = 237 Å³ per cell

=====

[5]
# TbPr2Nd7, relaxed, DFT PBE-GGA
data_TbPr2Nd7
_chemical_formula_sum 'Tb2 Pr4 Nd14'
_cell_length_a 6.800
_cell_length_b 29.629
_cell_length_c 3.512
_cell_angle_alpha 90.00
_cell_angle_beta 90.00
_cell_angle_gamma 90.00
_space_group_name_H-M_alt 'C m m m'
_space_group_IT_number 65
_space_group_name_Hall '-C 2 2'
loop_
_atom_site_label
_atom_site_type_symbol
_atom_site_fract_x
_atom_site_fract_y
_atom_site_fract_z
Tb1 Tb 0.000 0.000 0.000
Pr1 Pr 0.000 0.296 0.500
Nd1 Nd 0.000 0.189 0.000
Nd2 Nd 0.000 0.500 0.500
Nd3 Nd 0.244 0.098 0.500
# E = -4.61 eV per atom
# Total moment = 0.0 Bohr magnetons per cell
# Energy above the most stable polymorph in this dataset = 0 meV per atom
# DOS(E_F) = 30.27 states/eV per cell
# ΔE_f = 0.14 eV per atom
# Volume = 708 Å³ per cell

=====

[6]
# TaFeCo2Rh, relaxed, DFT PBE-GGA
data_TaFeCo2Rh
_chemical_formula_sum 'Ta1 Fe1 Co2 Rh1'
_cell_length_a 4.154
_cell_length_b 4.154
_cell_length_c 4.478
_cell_angle_alpha 90.00
_cell_angle_beta 90.00
_cell_angle_gamma 90.00
_space_group_name_H-M_alt 'P 4/m m m'
_space_group_IT_number 123
_space_group_name_Hall '-P 4 2'
loop_
_atom_site_label
_atom_site_type_symbol
_atom_site_fract_x
_atom_site_fract_y
_atom_site_fract_z
Ta1 Ta 0.000 0.000 0.000
Fe1 Fe 0.500 0.500 0.500
Co1 Co 0.000 0.500 0.500
Rh1 Rh 0.500 0.500 0.000
# E = -7.40 eV per atom
# Total moment = 5.3 Bohr magnetons per cell
# DOS(E_F) = 7.87 states/eV per cell
# ΔE_f = 0.98 eV per atom
# Volume = 77 Å³ per cell

=====

[7]
# La4Tm3, relaxed, DFT PBE-GGA
data_La4Tm3
_chemical_formula_sum 'La8 Tm6'
_cell_length_a 11.324
_cell_length_b 5.177
_cell_length_c 8.209
_cell_angle_alpha 90.00
_cell_angle_beta 98.77
_cell_angle_gamma 90.00
_space_group_name_H-M_alt 'C 1 2/m 1'
_space_group_IT_number 12
loop_
_space_group_symop_operation_xyz
'x,y,z'
'-x,-y,-z'
'-x,y,-z'
'x,-y,z'
'x+1/2,y+1/2,z'
'-x+1/2,-y+1/2,-z'
'-x+1/2,y+1/2,-z'
'x+1/2,-y+1/2,z'
loop_
_atom_site_label
_atom_site_type_symbol
_atom_site_fract_x
_atom_site_fract_y
_atom_site_fract_z
La1 La 0.144 0.000 0.423
La2 La 0.213 0.500 0.141
Tm1 Tm 0.000 0.000 0.000
Tm2 Tm 0.071 0.500 0.712
# E = -4.70 eV per atom
# Total moment = 0.0 Bohr magnetons per cell
# Energy above the most stable polymorph in this dataset = 0 meV per atom
# DOS(E_F) = 23.02 states/eV per cell
# ΔE_f = 0.03 eV per atom
# Volume = 476 Å³ per cell

=====

[8]
# MnCuP2, relaxed, DFT PBE-GGA
data_MnCuP2
_chemical_formula_sum 'Mn2 Cu2 P4'
_cell_length_a 3.498
_cell_length_b 4.303
_cell_length_c 6.962
_cell_angle_alpha 90.00
_cell_angle_beta 90.00
_cell_angle_gamma 90.00
_space_group_name_H-M_alt 'C m m m'
_space_group_IT_number 65
_space_group_name_Hall '-C 2 2'
loop_
_atom_site_label
_atom_site_type_symbol
_atom_site_fract_x
_atom_site_fract_y
_atom_site_fract_z
Mn1 Mn 0.000 0.000 0.000
Cu1 Cu 0.000 0.000 0.500
P1 P 0.000 0.500 0.232
# E = -5.88 eV per atom
# Total moment = 4.8 Bohr magnetons per cell
# DOS(E_F) = 3.99 states/eV per cell
# ΔE_f = 0.14 eV per atom
# Volume = 105 Å³ per cell